Record 1
DFT (GGA-PBE) results for crystalline TbHf2Tc9 at its relaxed geometry. Values from VASP.

The structure in Quantum ESPRESSO input format:
```
&SYSTEM
  ibrav = 0, nat = 12, ntyp = 3
/
ATOMIC_SPECIES
Tb 158.93 Tb.upf
Hf 178.49 Hf.upf
Tc 98.00 Tc.upf
ATOMIC_POSITIONS crystal
Tb 0.000 0.000 0.000
Hf 0.857 0.857 0.429
Hf 0.143 0.143 0.571
Tc 0.664 0.664 0.009
Tc 0.336 0.336 0.991
Tc 0.500 0.500 0.500
Tc 0.409 0.409 0.257
Tc 0.924 0.409 0.257
Tc 0.409 0.924 0.257
Tc 0.591 0.591 0.743
Tc 0.591 0.076 0.743
Tc 0.076 0.591 0.743
CELL_PARAMETERS angstrom
-4.598 0.499 -2.485
-3.761 -3.599 0.688
-5.907 3.507 6.088
```

space-group type: R-3m, No. 166
V: 17.237 Å³/atom
raw total energy: -9.97 eV/atom
total magnetization: 0.00 μB/cell
ΔE_f: -0.15 eV/atom

***

Record 2
DFT (GGA-PBE) results for crystalline TbHfTc4 at its relaxed geometry. Values from VASP.

The structure in Quantum ESPRESSO input format:
```
&SYSTEM
  ibrav = 0, nat = 6, ntyp = 3
/
ATOMIC_SPECIES
Tb 158.93 Tb.upf
Hf 178.49 Hf.upf
Tc 98.00 Tc.upf
ATOMIC_POSITIONS crystal
Tb 0.250 0.250 0.250
Hf 0.000 0.000 0.000
Tc 0.625 0.625 0.124
Tc 0.625 0.124 0.625
Tc 0.625 0.625 0.625
Tc 0.124 0.625 0.625
CELL_PARAMETERS angstrom
5.331 0.000 0.000
2.666 4.617 0.000
2.666 1.539 4.353
```

space-group type: F-43m, No. 216
V: 17.859 Å³/atom
raw total energy: -9.53 eV/atom
total magnetization: 0.00 μB/cell
ΔE_f: -0.18 eV/atom

***

Record 3
DFT (GGA-PBE) results for crystalline TbHfTc at its relaxed geometry. Values from VASP.

The structure in Quantum ESPRESSO input format:
```
&SYSTEM
  ibrav = 0, nat = 18, ntyp = 3
/
ATOMIC_SPECIES
Tb 158.93 Tb.upf
Hf 178.49 Hf.upf
Tc 98.00 Tc.upf
ATOMIC_POSITIONS crystal
Tb 0.257 0.960 0.460
Tb 0.676 0.040 0.540
Tb 0.676 0.540 0.040
Tb 0.257 0.460 0.960
Tb 0.837 0.250 0.750
Tb 0.837 0.750 0.250
Hf 0.506 0.500 0.500
Hf 0.506 0.000 0.000
Hf 0.257 0.875 0.875
Hf 0.008 0.125 0.125
Hf 0.008 0.625 0.625
Hf 0.257 0.375 0.375
Tc 0.257 0.750 0.250
Tc 0.257 0.250 0.750
Tc 0.590 0.667 0.667
Tc 0.924 0.333 0.333
Tc 0.924 0.833 0.833
Tc 0.590 0.167 0.167
CELL_PARAMETERS angstrom
-1.174 -3.530 -6.227
4.359 -7.179 -0.977
-4.148 -7.333 0.714
```

space-group type: P-62m, No. 189
V: 21.977 Å³/atom
raw total energy: -8.44 eV/atom
total magnetization: 0.00 μB/cell
ΔE_f: -0.12 eV/atom

***

Record 4
DFT (GGA-PBE) results for crystalline TbHfTc at its relaxed geometry. Values from VASP.

The structure in Quantum ESPRESSO input format:
```
&SYSTEM
  ibrav = 0, nat = 3, ntyp = 3
/
ATOMIC_SPECIES
Tb 158.93 Tb.upf
Hf 178.49 Hf.upf
Tc 98.00 Tc.upf
ATOMIC_POSITIONS crystal
Tb 0.023 0.023 0.046
Hf 0.295 0.295 0.590
Tc 0.682 0.682 0.364
CELL_PARAMETERS angstrom
-0.081 2.652 2.093
-1.185 -1.983 2.467
6.120 -1.505 -0.586
```

space-group type: I4mm, No. 107
V: 22.314 Å³/atom
raw total energy: -8.47 eV/atom
total magnetization: 0.00 μB/cell
ΔE_f: -0.15 eV/atom

***

Record 5
DFT (GGA-PBE) results for crystalline TbHfTc2 at its relaxed geometry. Values from VASP.

The structure in Quantum ESPRESSO input format:
```
&SYSTEM
  ibrav = 0, nat = 4, ntyp = 3
/
ATOMIC_SPECIES
Tb 158.93 Tb.upf
Hf 178.49 Hf.upf
Tc 98.00 Tc.upf
ATOMIC_POSITIONS crystal
Tb 0.500 0.500 0.500
Hf 0.500 0.500 0.000
Tc 0.000 0.000 0.771
Tc 0.000 0.000 0.229
CELL_PARAMETERS angstrom
-0.340 0.357 -3.296
1.033 -3.137 -0.446
-6.411 -2.172 0.426
```

space-group type: P4/mmm, No. 123
V: 18.829 Å³/atom
raw total energy: -8.94 eV/atom
total magnetization: 0.00 μB/cell
ΔE_f: -0.11 eV/atom

***

Record 6
DFT (GGA-PBE) results for crystalline TbHfZnTc at its relaxed geometry. Values from VASP.

The structure in Quantum ESPRESSO input format:
```
&SYSTEM
  ibrav = 0, nat = 4, ntyp = 4
/
ATOMIC_SPECIES
Tb 158.93 Tb.upf
Zn 65.41 Zn.upf
Hf 178.49 Hf.upf
Tc 98.00 Tc.upf
ATOMIC_POSITIONS crystal
Tb 0.750 0.750 0.750
Zn 0.000 0.000 0.000
Hf 0.250 0.250 0.250
Tc 0.500 0.500 0.500
CELL_PARAMETERS angstrom
4.796 0.000 0.000
2.398 4.153 0.000
2.398 1.384 3.916
```

space-group type: F-43m, No. 216
V: 19.500 Å³/atom
raw total energy: -6.73 eV/atom
total magnetization: 0.00 μB/cell
ΔE_f: -0.17 eV/atom

***

Record 7
DFT (GGA-PBE) results for crystalline TbHfTe4 at its relaxed geometry. Values from VASP.

The structure in Quantum ESPRESSO input format:
```
&SYSTEM
  ibrav = 0, nat = 12, ntyp = 3
/
ATOMIC_SPECIES
Tb 158.93 Tb.upf
Hf 178.49 Hf.upf
Te 127.60 Te.upf
ATOMIC_POSITIONS crystal
Tb 0.500 0.000 0.500
Tb 0.000 0.500 0.500
Hf 0.000 0.000 0.000
Hf 0.500 0.500 0.000
Te 0.838 0.653 0.128
Te 0.662 0.153 0.872
Te 0.386 0.370 0.356
Te 0.114 0.870 0.644
Te 0.162 0.347 0.872
Te 0.338 0.847 0.128
Te 0.614 0.630 0.644
Te 0.886 0.130 0.356
CELL_PARAMETERS angstrom
7.296 0.000 0.205
0.000 7.368 0.000
0.099 0.000 7.256
```

space-group type: P2_1/c, No. 14
V: 32.490 Å³/atom
raw total energy: -5.29 eV/atom
total magnetization: 0.00 μB/cell
ΔE_f (raw): -768.6 meV/atom

***

Record 8
DFT (GGA-PBE) results for crystalline TbHfTe at its relaxed geometry. Values from VASP.

The structure in Quantum ESPRESSO input format:
```
&SYSTEM
  ibrav = 0, nat = 6, ntyp = 3
/
ATOMIC_SPECIES
Tb 158.93 Tb.upf
Hf 178.49 Hf.upf
Te 127.60 Te.upf
ATOMIC_POSITIONS crystal
Tb 0.111 0.223 0.790
Tb 0.889 0.777 0.210
Hf 0.371 0.743 0.535
Hf 0.629 0.257 0.465
Te 0.836 0.672 0.804
Te 0.164 0.328 0.196
CELL_PARAMETERS angstrom
-3.114 1.757 -1.409
-0.039 -5.619 -1.681
-3.363 -0.140 7.257
```

space-group type: C2/m, No. 12
V: 27.455 Å³/atom
raw total energy: -6.57 eV/atom
total magnetization: 0.00 μB/cell
ΔE_f (raw): -656.9 meV/atom

***

| no. | DOS at the Fermi energy (states/eV/f.u.) |
| --- | --- |
| 1 | 13.91 |
| 2 | 10.81 |
| 3 | 1.62 |
| 4 | 1.38 |
| 5 | 6.02 |
| 6 | 3.92 |
| 7 | 4.06 |
| 8 | 1.72 |